1.
VASP calculation (GGA-PBE) on an optimized crystal structure of SrCdCoTe3.

The space group is Cmcm (No. 63) and the conventional cell measures 4.3302, 13.6480 and 11.6202 Å, with angles of 90.00, 90.00 and 90.00 degrees. The inequivalent atoms are Sr at (0.0000, 0.2491, 0.2500), Cd at (0.0000, 0.5000, 0.0000), Co at (0.0000, 0.0414, 0.7500), Te at (0.0000, 0.1450, 0.5637) and Te at (0.0000, 0.4405, 0.7500).

For the electronic total energy, the calculation gives -88.63 eV per cell.


2.
VASP calculation (GGA-PBE) on an optimized crystal structure of PrCoC2.

The space group is Cc (No. 9) and the conventional cell measures 5.3981, 5.4036 and 7.4151 Å, with angles of 90.00, 101.88 and 90.00 degrees. The inequivalent atoms are Pr at (0.0000, 0.0739, 0.0000), Co at (0.0567, 0.4293, 0.6923), C at (0.3289, 0.1815, 0.7725) and C at (0.4811, 0.0755, 0.9243).

For the electronic total energy, the calculation gives -125.22 eV per cell.


3.
VASP calculation (GGA-PBE) on an optimized crystal structure of Ho2Ta.

The space group is Fd-3m (No. 227, origin choice 2) and the conventional cell measures 12.3139, 12.3139 and 12.3139 Å, with angles of 90.00, 90.00 and 90.00 degrees. The inequivalent atoms are Ho at (0.0000, 0.0000, 0.0000) and Ta at (0.1250, 0.1250, 0.1250).

For the electronic total energy, the calculation gives -107.26 eV per cell. The energy of formation from the pure elements comes out at 2533 meV/atom.


4.
VASP calculation (GGA-PBE) on an optimized crystal structure of LaNdMg6.

The space group is P4/mmm (No. 123) and the conventional cell measures 5.2699, 5.2699 and 7.4501 Å, with angles of 90.00, 90.00 and 90.00 degrees. The inequivalent atoms are La at (0.0000, 0.0000, 0.0000), Nd at (0.5000, 0.5000, 0.5000), Mg at (0.0000, 0.0000, 0.5000), Mg at (0.0000, 0.5000, 0.2506) and Mg at (0.5000, 0.5000, 0.0000).

For the electronic total energy, the calculation gives -19.98 eV per cell.


5.
VASP calculation (GGA-PBE) on an optimized crystal structure of GdMgZn.

The space group is P-1 (No. 2) and the conventional cell measures 6.1685, 6.2583 and 7.8694 Å, with angles of 77.04, 77.29 and 66.64 degrees. The inequivalent atoms are Gd at (0.1391, 0.1006, 0.1802), Gd at (0.2962, 0.2677, 0.5061), Mg at (0.0913, 0.6273, 0.1544), Mg at (0.4061, 0.4204, 0.8346), Zn at (0.2096, 0.7647, 0.5049) and Zn at (0.3612, 0.8966, 0.8425).

For the electronic total energy, the calculation gives -32.29 eV per cell.


6.
VASP calculation (GGA-PBE) on an optimized crystal structure of Gd2TmNiGe3Ir2.

The space group is Amm2 (No. 38) and the conventional cell measures 3.8791, 12.1669 and 7.1217 Å, with angles of 90.00, 90.00 and 90.00 degrees. The inequivalent atoms are Gd at (0.0000, 0.2022, 0.0000), Tm at (0.0000, 0.0000, 0.3967), Ni at (0.0000, 0.0000, 0.7922), Ge at (0.5000, 0.0000, 0.0443), Ge at (0.5000, 0.1238, 0.6729) and Ir at (0.5000, 0.1619, 0.2982).

For the electronic total energy, the calculation gives -116.17 eV per cell.


7.
VASP calculation (GGA-PBE) on an optimized crystal structure of DyW.

The space group is P-6m2 (No. 187) and the conventional cell measures 3.0210, 3.0210 and 5.2741 Å, with angles of 90.00, 90.00 and 120.00 degrees. The inequivalent atoms are Dy at (0.0000, 0.0000, 0.0000) and W at (0.6667, 0.3333, 0.5000).

For the electronic total energy, the calculation gives -15.90 eV per cell. The energy of formation from the pure elements comes out at 829 meV/atom.


8.
VASP calculation (GGA-PBE) on an optimized crystal structure of Mg2Ag.

The space group is Pmmn (No. 59, origin choice 2) and the conventional cell measures 4.8626, 9.2599 and 5.1509 Å, with angles of 90.00, 90.00 and 90.00 degrees. The inequivalent atoms are Mg at (0.2500, 0.0754, 0.1021), Mg at (0.2500, 0.2500, 0.5890), Mg at (0.2500, 0.7500, 0.0657) and Ag at (0.2500, 0.5844, 0.5853).

For the electronic total energy, the calculation gives -25.18 eV per cell.


Question: Which of these has the lowest electronic total energy?
Answer: PrCoC2


Question: The lowest electronic total energy belongs to which entry?
Answer: PrCoC2


Question: Which of these has the highest electronic total energy?
Answer: DyW


Question: Which of these has the highest electronic total energy?
Answer: DyW